(1)
{"formula": "MgSbCI2", "functional": "PBE-GGA", "state": "optimized geometry", "cell": [[5.138, 0.000, 0.000], [0.000, 5.138, 0.000], [0.000, 0.000, 4.797]], "species": ["Mg", "Sb", "C", "I", "I"], "fractional_positions": [[0.000, 0.000, 0.000], [0.500, 0.500, 0.000], [0.500, 0.500, 0.500], [0.000, 0.500, 0.500], [0.500, 0.000, 0.500]], "crystal_system": "tetragonal", "e_above_lowest_polymorph_mev_per_atom": 0, "sg": "P4/mmm, No. 123", "final_energy_ev_per_atom": -2.67, "formation_energy_uncorrected_ev_per_atom": 0.94}

(2)
{"formula": "AcTm2Lu", "functional": "PBE-GGA", "state": "optimized geometry", "cell": [[5.085, 0.000, 0.000], [0.000, 5.085, 0.000], [0.000, 0.000, 5.151]], "species": ["Ac", "Tm", "Tm", "Lu"], "fractional_positions": [[0.000, 0.000, 0.000], [0.000, 0.500, 0.500], [0.500, 0.000, 0.500], [0.500, 0.500, 0.000]], "crystal_system": "tetragonal", "e_above_lowest_polymorph_mev_per_atom": 0, "sg": "P4/mmm, No. 123", "final_energy_ev_per_atom": -4.31, "delta_e_f_mev_per_atom": 82}

(3)
{"formula": "KZrSe", "functional": "PBE-GGA", "state": "optimized geometry", "cell": [[3.673, 0.000, 0.000], [-1.836, 3.181, 0.000], [0.000, 0.000, 7.519]], "species": ["K", "Zr", "Se"], "fractional_positions": [[0.000, 0.000, 0.000], [0.333, 0.667, 0.544], [0.667, 0.333, 0.322]], "crystal_system": "trigonal", "e_above_lowest_polymorph_mev_per_atom": 18, "sg": "P3m1, No. 156", "final_energy_ev_per_atom": -4.86, "formation_energy_uncorrected_ev_per_atom": -0.48}

(4)
{"formula": "Sc2Mn3Tc", "functional": "PBE-GGA", "state": "optimized geometry", "cell": [[8.615, 0.000, 0.000], [0.000, 4.964, 0.000], [-2.867, 0.000, 4.173]], "species": ["Sc", "Sc", "Sc", "Sc", "Mn", "Mn", "Mn", "Mn", "Mn", "Mn", "Tc", "Tc"], "fractional_positions": [[0.124, 0.000, 0.374], [0.376, 0.500, 0.626], [0.624, 0.500, 0.374], [0.876, 0.000, 0.626], [0.000, 0.500, 0.500], [0.250, 0.250, 0.000], [0.250, 0.750, 0.000], [0.500, 0.000, 0.500], [0.750, 0.250, 0.000], [0.750, 0.750, 0.000], [0.000, 0.500, 0.000], [0.500, 0.000, 0.000]], "crystal_system": "monoclinic", "sg": "C2/m, No. 12", "final_energy_ev_per_atom": -8.59, "delta_e_f_mev_per_atom": -165}

(5)
{"formula": "CePm2N3", "functional": "PBE-GGA", "state": "optimized geometry", "cell": [[6.820, -1.768, 0.000], [6.820, 1.768, 0.000], [-2.836, 0.000, 8.275]], "species": ["Ce", "Ce", "Pm", "Pm", "Pm", "Pm", "N", "N", "N", "N", "N", "N"], "fractional_positions": [[0.000, 0.000, 0.000], [0.500, 0.500, 0.500], [0.167, 0.167, 0.833], [0.332, 0.332, 0.664], [0.668, 0.668, 0.336], [0.833, 0.833, 0.167], [0.025, 0.025, 0.309], [0.311, 0.311, 0.363], [0.369, 0.369, 0.972], [0.631, 0.631, 0.028], [0.689, 0.689, 0.637], [0.975, 0.975, 0.691]], "crystal_system": "monoclinic", "e_above_lowest_polymorph_mev_per_atom": 336, "sg": "C2/m, No. 12", "final_energy_ev_per_atom": -7.88, "formation_energy_uncorrected_ev_per_atom": -1.15}

(6)
{"formula": "PmCuPd2", "functional": "PBE-GGA", "state": "optimized geometry", "cell": [[6.673, 0.000, 0.000], [0.000, 6.673, 0.000], [0.000, 0.000, 6.673]], "species": ["Pm", "Pm", "Pm", "Pm", "Cu", "Cu", "Cu", "Cu", "Pd", "Pd", "Pd", "Pd", "Pd", "Pd", "Pd", "Pd"], "fractional_positions": [[0.000, 0.000, 0.000], [0.000, 0.500, 0.500], [0.500, 0.000, 0.500], [0.500, 0.500, 0.000], [0.000, 0.000, 0.500], [0.000, 0.500, 0.000], [0.500, 0.000, 0.000], [0.500, 0.500, 0.500], [0.250, 0.250, 0.250], [0.250, 0.250, 0.750], [0.250, 0.750, 0.250], [0.250, 0.750, 0.750], [0.750, 0.250, 0.250], [0.750, 0.250, 0.750], [0.750, 0.750, 0.250], [0.750, 0.750, 0.750]], "crystal_system": "cubic", "e_above_lowest_polymorph_mev_per_atom": 134, "sg": "Fm-3m, No. 225", "final_energy_ev_per_atom": -5.27, "delta_e_f_mev_per_atom": -464}

(7)
{"formula": "KReTc2", "functional": "PBE-GGA", "state": "optimized geometry", "cell": [[2.800, 0.000, 0.000], [-1.400, 2.425, 0.000], [0.000, 0.000, 31.291]], "species": ["K", "K", "K", "Re", "Re", "Re", "Tc", "Tc", "Tc", "Tc", "Tc", "Tc"], "fractional_positions": [[0.000, 0.000, 0.000], [0.333, 0.667, 0.667], [0.667, 0.333, 0.333], [0.000, 0.000, 0.500], [0.333, 0.667, 0.167], [0.667, 0.333, 0.833], [0.000, 0.000, 0.236], [0.000, 0.000, 0.764], [0.333, 0.667, 0.431], [0.333, 0.667, 0.903], [0.667, 0.333, 0.097], [0.667, 0.333, 0.569]], "crystal_system": "trigonal", "e_above_lowest_polymorph_mev_per_atom": 0, "sg": "R-3m, No. 166", "final_energy_ev_per_atom": -7.86, "delta_e_f_mev_per_atom": 711}

(8)
{"formula": "ZnSiO3", "functional": "PBE-GGA", "state": "optimized geometry", "cell": [[2.404, 1.388, 4.665], [-2.404, 1.388, 4.665], [0.000, -2.776, 4.665]], "species": ["Zn", "Zn", "Si", "Si", "O", "O", "O", "O", "O", "O"], "fractional_positions": [[0.131, 0.131, 0.131], [0.869, 0.869, 0.869], [0.339, 0.339, 0.339], [0.661, 0.661, 0.661], [0.062, 0.454, 0.698], [0.302, 0.938, 0.546], [0.454, 0.698, 0.062], [0.546, 0.302, 0.938], [0.698, 0.062, 0.454], [0.938, 0.546, 0.302]], "crystal_system": "trigonal", "sg": "R-3, No. 148", "final_energy_ev_per_atom": -6.44, "formation_energy_uncorrected_ev_per_atom": -2.12}

(9)
{"formula": "TeRu", "functional": "PBE-GGA", "state": "optimized geometry", "cell": [[3.200, 0.000, 0.000], [0.000, 3.200, 0.000], [0.000, 0.000, 8.464]], "species": ["Te", "Te", "Ru", "Ru"], "fractional_positions": [[0.250, 0.250, 0.217], [0.750, 0.750, 0.783], [0.250, 0.250, 0.617], [0.750, 0.750, 0.383]], "crystal_system": "tetragonal", "sg": "P4/nmm, No. 129", "final_energy_ev_per_atom": -6.07, "formation_energy_uncorrected_ev_per_atom": 0.14}

(10)
{"formula": "Li2CaCd", "functional": "PBE-GGA", "state": "optimized geometry", "cell": [[6.322, 0.000, 0.000], [0.000, 10.675, 0.000], [-1.661, 0.000, 3.038]], "species": ["Li", "Li", "Li", "Li", "Ca", "Ca", "Cd", "Cd"], "fractional_positions": [[0.250, 0.250, 0.000], [0.250, 0.750, 0.000], [0.750, 0.250, 0.000], [0.750, 0.750, 0.000], [0.000, 0.000, 0.500], [0.500, 0.500, 0.500], [0.000, 0.500, 0.500], [0.500, 0.000, 0.500]], "crystal_system": "monoclinic", "e_above_lowest_polymorph_mev_per_atom": 140, "sg": "C2/m, No. 12", "final_energy_ev_per_atom": -1.73, "delta_e_f_mev_per_atom": -44}